Density functional theory data (PBE) for a geometry-optimized CeThAgHg structure.

## Properties
- offset from the most stable computed form (kcal/mol of atoms) = 7.471
- crystal system = orthorhombic

Lattice parameters (Å, degrees): 5.456 6.449 6.449 29.50 90.00 90.00
Element x y z (fractional)
Ce 0.000 0.000 0.000
Th 0.000 0.272 0.272
Ag 0.500 0.131 0.131
Hg 0.500 0.860 0.860

=====

Density functional theory data (PBE) for a geometry-optimized CeThAgHg structure.

## Properties
- offset from the most stable computed form (kcal/mol of atoms) = 0.000
- crystal system = cubic

Lattice parameters (Å, degrees): 5.352 5.352 5.352 60.00 60.00 60.00
Element x y z (fractional)
Ce 0.000 0.000 0.000
Th 0.500 0.500 0.500
Ag 0.250 0.250 0.250
Hg 0.750 0.750 0.750

=====

Density functional theory data (PBE) for a geometry-optimized CeTmAgHg structure.

## Properties
- VASP energy (eV/atom) = -3.6624
- crystal system = cubic

Lattice parameters (Å, degrees): 5.252 5.252 5.252 60.00 60.00 60.00
Element x y z (fractional)
Ce 0.000 0.000 0.000
Tm 0.500 0.500 0.500
Ag 0.750 0.750 0.750
Hg 0.250 0.250 0.250

=====

In order of appearance, Fermi-level density of states = 8.3; 8.9; 8.6 states/eV per cell.